# CuB2Pb, optimized geometry, DFT PBE
# - formation energy (meV per atom) = 1628
# - energy relative to the lowest polymorph listed for this composition (eV per formula unit) = 3.302
# - volume (Å³/f.u.) = 58
data_CuB2Pb
_chemical_formula_sum 'Cu4 B8 Pb4'
_space_group_name_H-M_alt 'F m -3 m'
_space_group_IT_number 225
_space_group_name_Hall '-F 4 2 3'
_cell_length_a 6.134
_cell_length_b 6.134
_cell_length_c 6.134
_cell_angle_alpha 90.00
_cell_angle_beta 90.00
_cell_angle_gamma 90.00
loop_
_atom_site_label
_atom_site_fract_x
_atom_site_fract_y
_atom_site_fract_z
Cu1 0.000 0.000 0.000
B1 0.250 0.250 0.250
Pb1 0.000 0.000 0.500